No. 1
Rb2W2N5: optimized geometry, PBE-GGA.

The structure in POSCAR format:
```
Rb2W2N5
1.0
-2.2552 -2.2416 2.1865
5.2110 -3.1960 -1.3073
2.4640 3.4847 6.1141
N W Rb
5 2 2
direct
0.6804 0.3607 0.9785 N
0.8795 0.7590 0.3302 N
0.3196 0.6393 0.0215 N
0.1205 0.2410 0.6698 N
0.0000 0.0000 0.0000 N
0.1444 0.2889 0.9100 W
0.8556 0.7111 0.0900 W
0.3981 0.7962 0.6439 Rb
0.6019 0.2038 0.3561 Rb
```

Theoretical density, g cm⁻³: 5.97
ΔE_f (raw), eV per atom: -0.272
Total magnetic moment, μB/f.u.: 1.1
Fermi-level density of states, states/eV per cell: 3.909
Space-group type: C2/m, No. 12
E, eV per cell: -71.92

***

No. 2
La2Pm9Dy: optimized geometry, PBE-GGA.

The structure in POSCAR format:
```
La2Pm9Dy
1.0
5.1709 0.0000 0.0000
0.0000 5.1709 0.0000
0.0000 0.0000 15.5332
Dy Pm La
1 9 2
direct
0.0000 0.0000 0.0000 Dy
0.0000 0.5000 0.5000 Pm
0.5000 0.0000 0.8364 Pm
0.5000 0.0000 0.5000 Pm
0.5000 0.5000 0.3313 Pm
0.5000 0.0000 0.1636 Pm
0.5000 0.5000 0.6687 Pm
0.0000 0.5000 0.8364 Pm
0.5000 0.5000 0.0000 Pm
0.0000 0.5000 0.1636 Pm
0.0000 0.0000 0.3325 La
0.0000 0.0000 0.6675 La
```

Theoretical density, g cm⁻³: 6.98
Total magnetic moment, μB/f.u.: 0.0
ΔH_f (0 K), eV per atom: 0.02
Fermi-level density of states, states/eV per cell: 20.463
Space-group type: P4/mmm, No. 123
E, eV per cell: -56.99

***

No. 3
BaZnAs2Pd: optimized geometry, PBE-GGA.

The structure in POSCAR format:
```
BaZnAs2Pd
1.0
-3.8907 0.5634 -1.7940
-1.8592 -1.7689 3.4767
2.4814 6.0680 1.7287
As Pd Zn Ba
2 1 1 1
direct
0.6329 0.6329 0.2658 As
0.3671 0.3671 0.7342 As
0.7500 0.2500 0.5000 Pd
0.2500 0.7500 0.5000 Zn
0.0000 0.0000 0.0000 Ba
```

Theoretical density, g cm⁻³: 6.74
Total magnetic moment, μB/f.u.: 0.0
ΔH_f (0 K), eV per atom: -0.66
Fermi-level density of states, states/eV per cell: 2.588
Space-group type: I-4m2, No. 119
E, eV per cell: -20.99

***

No. 4
Rb2BaZnAs2: optimized geometry, PBE-GGA.

The structure in POSCAR format:
```
Rb2BaZnAs2
1.0
-1.2909 2.6760 -3.4783
-8.8562 -2.2416 1.5622
-0.8127 7.3761 5.9765
Rb Ba As Zn
4 2 4 2
direct
0.5000 0.0295 0.0880 Rb
0.0000 0.8554 0.8295 Rb
0.0000 0.3554 0.1705 Rb
0.5000 0.5295 0.9120 Rb
0.0000 0.9798 0.4691 Ba
0.0000 0.4798 0.5309 Ba
0.5000 0.2373 0.4104 As
0.0000 0.7312 0.1888 As
0.5000 0.7373 0.5896 As
0.0000 0.2312 0.8112 As
0.5000 0.7125 0.3246 Zn
0.5000 0.2125 0.6754 Zn
```

Theoretical density, g cm⁻³: 4.30
Total magnetic moment, μB/f.u.: 0.0
ΔH_f (0 K), eV per atom: -0.58
Fermi-level density of states, states/eV per cell: 0.491
Space-group type: Pmc2_1, No. 26
E, eV per cell: -35.82

***

No. 5
AcGdGaIr: optimized geometry, PBE-GGA.

The structure in POSCAR format:
```
AcGdGaIr
1.0
5.2127 0.0000 0.0000
2.6063 4.5143 0.0000
2.6063 1.5048 4.2561
Ir Ga Gd Ac
1 1 1 1
direct
0.2500 0.2500 0.2500 Ir
0.7500 0.7500 0.7500 Ga
0.0000 0.0000 0.0000 Gd
0.5000 0.5000 0.5000 Ac
```

Theoretical density, g cm⁻³: 10.71
Total magnetic moment, μB/f.u.: 7.0
ΔH_f (0 K), eV per atom: -0.46
Fermi-level density of states, states/eV per cell: 4.120
Space-group type: F-43m, No. 216
E, eV per cell: -31.92

***

No. 6
Sr2ZnCd3Au4: optimized geometry, PBE-GGA.

The structure in POSCAR format:
```
Sr2ZnCd3Au4
1.0
4.7604 0.0000 0.0000
0.0000 4.7604 0.0000
0.0000 0.0000 11.0447
Cd Au Sr Zn
3 4 2 1
direct
0.5000 0.0000 0.8690 Cd
0.0000 0.5000 0.1310 Cd
0.0000 0.0000 0.5000 Cd
0.0000 0.0000 0.0000 Au
0.5000 0.0000 0.6237 Au
0.0000 0.5000 0.3763 Au
0.5000 0.5000 0.0000 Au
0.0000 0.5000 0.7553 Sr
0.5000 0.0000 0.2447 Sr
0.5000 0.5000 0.5000 Zn
```

Theoretical density, g cm⁻³: 9.06
Total magnetic moment, μB/f.u.: 0.0
ΔH_f (0 K), eV per atom: -0.44
Fermi-level density of states, states/eV per cell: 2.680
Space-group type: P-4m2, No. 115
E, eV per cell: -24.89

***

No. 7
Er2TlNi: optimized geometry, PBE-GGA.

The structure in POSCAR format:
```
Er2TlNi
1.0
-3.5729 1.1746 -0.0294
-2.6158 -1.8865 1.9351
-0.5649 4.4855 7.2643
Er Ni Tl
2 1 1
direct
0.7306 0.7306 0.8082 Er
0.2694 0.2694 0.1918 Er
0.0000 0.0000 0.0000 Ni
0.5000 0.5000 0.5000 Tl
```

ΔE to the lowest computed polymorph, kJ/mol of formula units: 36
Theoretical density, g cm⁻³: 9.79
Total magnetic moment, μB/f.u.: 0.0
ΔH_f (0 K), eV per atom: -0.28
Fermi-level density of states, states/eV per cell: 3.638
Space-group type: R-3m, No. 166
E, eV per cell: -18.41

***

No. 8
Al2Cu3Au3: optimized geometry, PBE-GGA.

The structure in POSCAR format:
```
Al2Cu3Au3
1.0
-1.4076 3.5972 0.7045
-2.8653 -1.5810 2.3478
4.5826 0.6165 6.0078
Al Cu Au
2 3 3
direct
0.0000 0.0000 0.7578 Al
0.0000 0.0000 0.2422 Al
0.5000 0.5000 0.7614 Cu
0.0000 0.5000 0.0000 Cu
0.5000 0.5000 0.2386 Cu
0.5000 0.0000 0.0000 Au
0.5000 0.0000 0.5000 Au
0.0000 0.5000 0.5000 Au
```

ΔE to the lowest computed polymorph, kJ/mol of formula units: 0
Theoretical density, g cm⁻³: 11.57
Total magnetic moment, μB/f.u.: 0.0
ΔH_f (0 K), eV per atom: -0.21
Fermi-level density of states, states/eV per cell: 2.508
Space-group type: Pmmm, No. 47
E, eV per cell: -31.30

***

No. 9
BeZn2Mo: optimized geometry, PBE-GGA.

The structure in POSCAR format:
```
BeZn2Mo
1.0
-2.2811 0.2860 -4.2312
4.5711 -1.5086 -0.1294
-0.8145 -2.4912 0.2708
Mo Zn Be
1 2 1
direct
0.0000 0.5000 0.5000 Mo
0.0000 0.0000 0.0000 Zn
0.5000 0.5000 0.0000 Zn
0.5000 0.0000 0.5000 Be
```

Theoretical density, g cm⁻³: 7.15
Total magnetic moment, μB/f.u.: 0.0
ΔH_f (0 K), eV per atom: 0.15
Fermi-level density of states, states/eV per cell: 1.148
Space-group type: Cmmm, No. 65
E, eV per cell: -16.50

***

No. 10
Sr2Ga4AgAu3: optimized geometry, PBE-GGA.

The structure in POSCAR format:
```
Sr2Ga4AgAu3
1.0
-0.2502 -3.9145 2.2555
3.8736 -1.3485 -1.9106
5.5581 4.3633 8.1893
Ga Ag Sr Au
4 1 2 3
direct
0.0000 0.5000 0.3713 Ga
0.5000 0.0000 0.6287 Ga
0.5000 0.5000 0.0000 Ga
0.0000 0.0000 0.0000 Ga
0.5000 0.5000 0.5000 Ag
0.0000 0.5000 0.7522 Sr
0.5000 0.0000 0.2478 Sr
0.0000 0.0000 0.5000 Au
0.5000 0.0000 0.8683 Au
0.0000 0.5000 0.1317 Au
```

Theoretical density, g cm⁻³: 8.64
Total magnetic moment, μB/f.u.: 0.0
ΔH_f (0 K), eV per atom: -0.54
Fermi-level density of states, states/eV per cell: 4.323
Space-group type: P-4m2, No. 115
E, eV per cell: -33.54

***

No. 11
TbPS4I: optimized geometry, PBE-GGA.

The structure in POSCAR format:
```
TbPS4I
1.0
6.9610 -0.4503 -0.4453
1.8809 6.7172 -0.4453
1.3591 0.9633 8.7130
Tb I P S
2 2 2 8
direct
0.7993 0.7993 0.0687 Tb
0.2007 0.2007 0.9313 Tb
0.0284 0.0284 0.2362 I
0.9716 0.9716 0.7638 I
0.3964 0.3964 0.2326 P
0.6036 0.6036 0.7674 P
0.6861 0.6861 0.5547 S
0.4246 0.4246 0.7207 S
0.5195 0.1644 0.0971 S
0.3139 0.3139 0.4453 S
0.8356 0.4805 0.9029 S
0.4805 0.8356 0.9029 S
0.5754 0.5754 0.2793 S
0.1644 0.5195 0.0971 S
```

Theoretical density, g cm⁻³: 3.51
ΔE_f (raw), eV per atom: -0.653
Total magnetic moment, μB/f.u.: 0.0
Fermi-level density of states, states/eV per cell: 3.975
Space-group type: C2/m, No. 12
E, eV per cell: -65.34

***

No. 12
In7Sn5: optimized geometry, PBE-GGA.

The structure in POSCAR format:
```
In7Sn5
1.0
3.2907 0.0000 0.0000
0.0000 9.9527 0.0000
0.0000 0.0000 10.0814
In Sn
7 5
direct
0.5000 0.7508 0.0000 In
0.5000 0.2501 0.0000 In
0.5000 0.7493 0.3343 In
0.0000 0.5005 0.1680 In
0.0000 0.0013 0.5000 In
0.5000 0.7493 0.6657 In
0.0000 0.5005 0.8320 In
0.5000 0.2507 0.6651 Sn
0.0000 0.0003 0.1677 Sn
0.5000 0.2507 0.3349 Sn
0.0000 0.0003 0.8323 Sn
0.0000 0.4960 0.5000 Sn
```

Theoretical density, g cm⁻³: 7.03
Total magnetic moment, μB/f.u.: 0.0
ΔH_f (0 K), eV per atom: 0.03
Fermi-level density of states, states/eV per cell: 5.493
Space-group type: Pmm2, No. 25
E, eV per cell: -38.80

***

What is the formula in the fifth record? AcGdGaIr